No. 1
Compound: Sm2YCu
Source: Alexandria
Functional: PBE
Structure: optimized geometry

Structure (extended XYZ):
```
4
Lattice="-2.1695 -1.7649 2.3200 -2.5079 -2.3098 -1.2567 5.1114 -8.8809 0.8695" Properties=species:S:1:pos:R:3 pbc="T T T"
Y 0.2170 -6.4778 0.9664
Sm -0.1776 -2.9162 0.4611
Sm 0.6117 -10.0395 1.4717
Cu 0.0000 0.0000 0.0000
```

Properties
Total magnetization in μB per formula unit: 0.00
Electronic total energy in eV/atom: -4.95



No. 2
Compound: Sm6ZnCu
Source: Alexandria
Functional: PBE
Structure: optimized geometry

Structure (extended XYZ):
```
8
Lattice="-4.0728 -2.6394 -1.6360 -1.3947 -0.8564 4.8531 -7.4595 5.5863 1.5457" Properties=species:S:1:pos:R:3 pbc="T T T"
Sm -7.1980 3.6699 3.9849
Sm -8.5376 2.7780 0.7403
Sm -7.8447 0.1944 3.1855
Sm -4.3894 -0.6876 4.0225
Sm -5.0822 1.8960 1.5773
Sm -5.7290 -1.5794 0.7779
Zn -2.7337 -1.7479 1.6085
Cu 0.0000 0.0000 0.0000
```

Properties
Total magnetization in μB per formula unit: 0.00
Electronic total energy in eV/atom: -4.31



No. 3
Compound: Sm6Zn5Cu
Source: Alexandria
Functional: PBE
Structure: optimized geometry

Structure (extended XYZ):
```
12
Lattice="4.9290 -0.0034 -1.3811 -3.6862 7.1737 -3.6932 -0.1884 -1.0158 8.8103" Properties=species:S:1:pos:R:3 pbc="T T T"
Zn -1.3519 1.7082 4.6514
Zn 1.6751 0.3896 5.9715
Zn 0.5272 3.0772 1.8680
Zn -2.5228 4.4497 0.4658
Zn -0.6208 5.7649 -2.2354
Sm -0.3157 2.8725 -1.1347
Sm -1.6696 4.6409 3.5068
Sm 0.2177 5.9801 0.7515
Sm 2.7239 1.5135 0.2293
Sm 1.3700 3.2820 4.8708
Sm 0.8367 0.1744 2.9846
Cu 0.0000 0.0000 0.0000
```

Properties
Total magnetization in μB per formula unit: 0.00
Electronic total energy in eV/atom: -3.53



No. 4
Compound: SmZnCu2
Source: Alexandria
Functional: PBE
Structure: optimized geometry

Structure (extended XYZ):
```
16
Lattice="5.4949 0.0000 0.0000 0.0000 6.7450 0.0000 0.0000 0.0000 7.7005" Properties=species:S:1:pos:R:3 pbc="T T T"
Cu 4.9675 0.4097 1.3584
Cu 0.5274 3.7822 6.3421
Cu 3.2748 2.9628 5.2086
Cu 0.5274 6.3353 6.3421
Cu 4.9675 2.9628 1.3584
Cu 3.2748 0.4097 5.2086
Cu 2.2201 6.3353 2.4919
Cu 2.2201 3.7822 2.4919
Sm 3.5699 5.0588 7.3260
Sm 0.8225 1.6863 4.2247
Sm 4.6724 5.0588 3.4757
Sm 1.9249 1.6863 0.3745
Zn 1.9287 5.0588 4.7353
Zn 3.5661 1.6863 2.9652
Zn 4.6761 1.6863 6.8154
Zn 0.8187 5.0588 0.8850
```

Properties
Total magnetization in μB per formula unit: 0.00
Electronic total energy in eV/atom: -3.77



No. 5
Compound: Sm12ZnCu6
Source: Alexandria
Functional: PBE
Structure: optimized geometry

Structure (extended XYZ):
```
19
Lattice="8.4025 -0.1747 -0.2093 -1.4465 8.2789 -0.2093 -1.4465 -1.6853 8.1083" Properties=species:S:1:pos:R:3 pbc="T T T"
Sm 1.2649 -0.9286 7.5511
Sm 1.6394 5.7137 4.5341
Sm 3.1518 2.1419 6.4319
Sm 6.6192 -0.8123 5.2488
Sm 2.3577 4.2770 1.2578
Sm 0.1104 2.4022 4.4330
Sm -1.1096 7.2313 2.4410
Sm 4.2446 7.3476 0.1387
Sm 3.8702 0.7053 3.1557
Sm 5.3991 4.0167 3.2568
Sm 7.3159 2.4018 0.4357
Sm -1.8064 4.0172 7.2541
Cu 4.5561 2.3085 0.9283
Cu 5.7052 1.8396 5.2526
Cu 1.5911 0.0461 4.9412
Cu -0.1957 4.5794 2.4372
Cu 3.9185 6.3729 2.7486
Cu 0.9534 4.1105 6.7615
Zn 0.0000 0.0000 0.0000
```

Properties
Total magnetization in μB per formula unit: 0.00
Electronic total energy in eV/atom: -4.25



No. 6
Compound: Sm5ZnCu2
Source: Alexandria
Functional: PBE
Structure: optimized geometry

Structure (extended XYZ):
```
16
Lattice="7.2859 0.0000 -3.4393 -1.6235 7.1027 -3.4393 -0.4456 -0.5590 8.4929" Properties=species:S:1:pos:R:3 pbc="T T T"
Sm 1.1019 -0.3085 5.3069
Sm 0.0000 0.0000 0.0000
Sm 4.1148 6.8522 -3.6927
Sm 2.9318 1.9869 -0.2534
Sm -1.0577 3.2428 4.2235
Sm 6.2744 3.3008 -2.6093
Sm 0.7722 5.5383 -1.3368
Sm 2.2849 4.5568 1.8676
Sm 2.8312 3.5513 -3.4393
Sm 4.4445 1.0054 2.9510
Zn 1.1928 1.4962 2.5268
Zn 4.0239 5.0475 -0.9125
Cu 0.3067 2.6597 -1.7197
Cu 5.3556 4.4430 -5.1590
Cu 4.3538 0.8916 -2.5832
Cu 1.3086 6.2110 -4.2954
```

Properties
Total magnetization in μB per formula unit: 0.00
Electronic total energy in eV/atom: -4.27



No. 7
Compound: SmZn2Cu6
Source: Alexandria
Functional: PBE
Structure: optimized geometry

Structure (extended XYZ):
```
18
Lattice="7.7490 0.0000 0.0000 3.8745 6.7108 0.0000 3.8745 2.2369 6.3270" Properties=species:S:1:pos:R:3 pbc="T T T"
Sm 7.7490 4.4739 3.1635
Sm 11.6234 6.7108 4.7452
Cu 5.8010 3.3492 4.7540
Cu 5.8010 5.5985 1.5730
Cu 1.9479 1.1246 3.1548
Cu 5.8010 1.1246 3.1548
Cu 5.8010 3.3492 0.0087
Cu 9.6969 5.5985 1.5730
Cu 7.7490 6.7231 4.7540
Cu 1.9479 3.3492 0.0087
Cu 3.8745 0.0123 0.0087
Cu 7.7490 2.2246 1.5730
Cu 3.8745 4.4615 3.1548
Cu 9.6969 3.3492 4.7540
Zn 3.8745 4.4739 0.7909
Zn 1.9372 1.1185 0.7909
Zn 5.8117 1.1185 0.7909
Zn 3.8745 2.2369 3.9544
```

Properties
Total magnetization in μB per formula unit: 0.00
Electronic total energy in eV/atom: -3.18



No. 8
Compound: Sm3ZnCu2
Source: Alexandria
Functional: PBE
Structure: optimized geometry

Structure (extended XYZ):
```
6
Lattice="3.5826 0.0000 0.0000 0.0000 3.5826 0.0000 0.0000 0.0000 10.7080" Properties=species:S:1:pos:R:3 pbc="T T T"
Sm 0.0000 0.0000 7.1841
Sm 0.0000 0.0000 3.5239
Sm 0.0000 0.0000 0.0000
Zn 1.7913 1.7913 5.3540
Cu 1.7913 1.7913 1.7815
Cu 1.7913 1.7913 8.9265
```

Properties
Total magnetization in μB per formula unit: 0.00
Electronic total energy in eV/atom: -4.17



No. 9
Compound: Sm2Zn3Cu4
Source: Alexandria
Functional: PBE
Structure: optimized geometry

Structure (extended XYZ):
```
18
Lattice="5.4908 0.0000 0.0000 0.0000 7.5663 0.0000 -2.7454 0.0000 7.5652" Properties=species:S:1:pos:R:3 pbc="T T T"
Cu 1.3727 1.8916 0.8999
Cu 4.1181 1.8916 0.8999
Cu 2.7454 3.9145 2.7061
Cu 0.0000 7.4349 2.7061
Cu 0.0000 3.6517 4.8591
Cu 1.3727 5.6747 6.6653
Cu -1.3727 5.6747 6.6653
Cu 2.7454 0.1314 4.8591
Sm 2.7454 3.1308 5.8657
Sm 0.0000 4.4355 1.6995
Sm 2.7454 6.9139 1.6995
Sm 0.0000 0.6524 5.8657
Zn 0.0000 0.0000 0.0000
Zn 2.7454 3.7831 0.0000
Zn -1.3727 5.6747 4.1462
Zn 4.1181 1.8916 3.4190
Zn 1.3727 5.6747 4.1462
Zn 1.3727 1.8916 3.4190
```

Properties
Total magnetization in μB per formula unit: 0.00
Electronic total energy in eV/atom: -3.50



No. 10
Compound: SmZn12Cu4
Source: Alexandria
Functional: PBE
Structure: optimized geometry

Structure (extended XYZ):
```
17
Lattice="-4.1476 3.7040 4.8575 -0.8889 -7.2567 1.0333 7.1016 1.7726 0.9709" Properties=species:S:1:pos:R:3 pbc="T T T"
Cu 3.5508 0.8863 0.4855
Cu 1.0326 -0.8901 3.4309
Cu -0.4444 -3.6284 0.5167
Cu -2.0738 1.8520 2.4288
Zn -0.5857 -0.7215 5.2339
Zn 1.8256 -3.1410 3.8805
Zn -2.2824 -3.1738 4.1389
Zn 2.6508 -1.0587 1.6279
Zn 4.4983 -2.6894 2.2239
Zn 0.9472 -4.7696 2.1473
Zn 2.8499 0.3372 4.4746
Zn -0.7847 -2.1173 2.3872
Zn -2.4332 0.9093 4.6379
Zn 0.2395 1.3609 2.9813
Zn 1.1179 2.9895 4.7145
Zn 4.3475 1.3937 2.7228
Sm 0.0000 0.0000 0.0000
```

Properties
Total magnetization in μB per formula unit: 0.00
Electronic total energy in eV/atom: -1.99